1.
First-principles (GGA-PBE) data for a geometry-optimized CeSm3Th2S6 structure, as listed in the Alexandria database.

Geometry as POSCAR:
```
CeSm3Th2S6
1.0
-3.717 4.116 -4.147
2.096 -6.198 -2.269
-5.054 -2.042 4.432
Th S Ce Sm
2 6 1 3
Direct
0.334 0.666 0.000
0.666 0.334 0.000
0.085 0.417 0.254
0.583 0.915 0.746
0.753 0.753 0.255
0.247 0.247 0.745
0.915 0.583 0.746
0.417 0.085 0.254
0.000 0.000 0.000
0.167 0.833 0.500
0.500 0.500 0.500
0.833 0.167 0.500
```

Results
The crystal system is monoclinic. The value obtained for the calculated density is 7.51 g cm⁻³.


2.
First-principles (GGA-PBE) data for a geometry-optimized CeSm2Th3S6 structure, as listed in the Alexandria database.

Geometry as POSCAR:
```
CeSm2Th3S6
1.0
4.022 0.000 0.000
0.000 8.055 0.230
-2.011 -2.382 8.476
S Th Ce Sm
6 3 1 2
Direct
0.666 0.087 0.332
0.334 0.913 0.668
0.999 0.752 0.998
0.668 0.581 0.336
0.332 0.419 0.664
0.001 0.248 0.002
0.500 0.500 0.000
0.167 0.835 0.333
0.833 0.165 0.667
0.500 0.000 0.000
0.166 0.332 0.332
0.834 0.668 0.668
```

Results
The crystal system is monoclinic. The value obtained for the calculated density is 7.97 g cm⁻³.


3.
First-principles (GGA-PBE) data for a geometry-optimized CeSm3Th4S8 structure, as listed in the Alexandria database.

Geometry as POSCAR:
```
CeSm3Th4S8
1.0
7.978 0.000 0.000
0.000 8.124 0.098
-3.989 -3.984 5.643
S Th Ce Sm
8 4 1 3
Direct
0.748 0.744 0.496
0.751 0.255 0.004
0.747 0.745 0.996
0.253 0.255 0.004
0.252 0.256 0.504
0.249 0.745 0.996
0.249 0.745 0.498
0.751 0.255 0.502
0.000 0.000 0.500
0.000 0.000 0.000
0.500 0.000 0.500
0.500 0.000 0.000
0.000 0.500 0.000
0.000 0.500 0.500
0.500 0.500 0.500
0.500 0.500 0.000
```

Results
The crystal system is trigonal. The value obtained for the calculated density is 7.99 g cm⁻³.


4.
First-principles (GGA-PBE) data for a geometry-optimized Ce3SmTh4S8 structure, as listed in the Alexandria database.

Geometry as POSCAR:
```
Ce3SmTh4S8
1.0
-4.544 3.505 -5.609
-4.368 -6.781 -0.698
0.866 3.449 7.193
S Th Ce Sm
8 4 3 1
Direct
0.749 0.747 0.498
0.248 0.746 0.496
0.750 0.746 0.998
0.251 0.253 0.502
0.248 0.746 0.998
0.752 0.254 0.504
0.752 0.254 0.002
0.250 0.254 0.002
0.000 0.000 0.500
0.500 0.000 0.000
0.000 0.000 0.000
0.500 0.000 0.500
0.500 0.500 0.500
0.000 0.500 0.500
0.500 0.500 0.000
0.000 0.500 0.000
```

Results
The crystal system is trigonal. The value obtained for the calculated density is 7.87 g cm⁻³.


5.
First-principles (GGA-PBE) data for a geometry-optimized Ce3SmTl3S8 structure, as listed in the Alexandria database.

Geometry as POSCAR:
```
Ce3SmTl3S8
1.0
-4.286 -4.685 -5.355
-1.562 -0.514 8.142
-2.638 7.310 -4.281
S Tl Ce Sm
8 3 3 1
Direct
0.734 0.467 0.701
0.767 0.036 0.304
0.268 0.036 0.304
0.266 0.533 0.299
0.233 0.465 0.696
0.767 0.535 0.304
0.233 0.964 0.696
0.732 0.964 0.696
0.000 0.000 0.000
0.500 0.500 0.000
0.000 0.500 0.000
0.000 0.500 0.500
0.500 0.000 0.500
0.500 0.500 0.500
0.000 0.000 0.500
```

Results
The crystal system is trigonal. The value obtained for the calculated density is 5.36 g cm⁻³.


6.
First-principles (GGA-PBE) data for a geometry-optimized CeSmTl2S4 structure, as listed in the Alexandria database.

Geometry as POSCAR:
```
CeSmTl2S4
1.0
4.166 0.000 0.000
0.000 7.209 0.128
0.000 -2.526 7.447
Ce S Tl Sm
1 4 2 1
Direct
0.500 0.500 0.000
0.000 0.736 0.202
0.000 0.264 0.798
0.500 0.231 0.201
0.500 0.769 0.799
0.500 0.000 0.500
0.000 0.500 0.500
0.000 0.000 0.000
```

Results
The crystal system is monoclinic. The value obtained for the calculated density is 6.11 g cm⁻³.


7.
First-principles (GGA-PBE) data for a geometry-optimized Ce2SmTl3S6 structure, as listed in the Alexandria database.

Geometry as POSCAR:
```
Ce2SmTl3S6
1.0
7.228 -0.001 0.001
-3.613 6.260 0.001
-1.205 -2.086 7.484
Tl S Ce Sm
3 6 2 1
Direct
0.500 0.500 0.500
0.834 0.166 0.500
0.166 0.834 0.500
0.933 0.601 0.799
0.067 0.399 0.201
0.736 0.736 0.202
0.399 0.067 0.201
0.601 0.933 0.799
0.264 0.264 0.798
0.333 0.667 0.000
0.667 0.333 0.000
0.000 0.000 0.000
```

Results
The crystal system is monoclinic. The value obtained for the calculated density is 6.06 g cm⁻³.


8.
First-principles (GGA-PBE) data for a geometry-optimized CeSmTm2S4 structure, as listed in the Alexandria database.

Geometry as POSCAR:
```
CeSmTm2S4
1.0
-2.579 -1.973 2.141
-1.783 -3.581 -5.447
5.166 -3.251 3.227
S Ce Sm Tm
4 1 1 2
Direct
0.500 0.255 0.266
0.000 0.243 0.733
0.000 0.757 0.267
0.500 0.745 0.734
0.500 0.500 0.000
0.000 0.000 0.000
0.000 0.500 0.500
0.500 0.000 0.500
```

Results
The crystal system is monoclinic. The value obtained for the calculated density is 7.32 g cm⁻³.


9.
First-principles (GGA-PBE) data for a geometry-optimized CeSm3Tm2S6 structure, as listed in the Alexandria database.

Geometry as POSCAR:
```
CeSm3Tm2S6
1.0
6.848 -0.009 -0.005
-3.430 5.927 -0.005
-1.145 -1.983 6.475
Sm S Tm Ce
3 6 2 1
Direct
0.164 0.836 0.500
0.836 0.164 0.500
0.500 0.500 0.500
0.422 0.080 0.240
0.737 0.737 0.238
0.920 0.578 0.760
0.080 0.422 0.240
0.263 0.263 0.762
0.578 0.920 0.760
0.667 0.333 0.000
0.333 0.667 0.000
0.000 0.000 0.000
```

Results
The crystal system is monoclinic. The value obtained for the calculated density is 7.09 g cm⁻³.


10.
First-principles (GGA-PBE) data for a geometry-optimized Ce2Sm3TmS6 structure, as listed in the Alexandria database.

Geometry as POSCAR:
```
Ce2Sm3TmS6
1.0
6.910 -0.005 -0.003
-3.458 5.983 -0.003
-1.155 -1.999 6.507
Ce S Tm Sm
2 6 1 3
Direct
0.334 0.666 0.000
0.666 0.334 0.000
0.919 0.594 0.755
0.594 0.919 0.755
0.081 0.406 0.245
0.242 0.242 0.753
0.758 0.758 0.247
0.406 0.081 0.245
0.000 0.000 0.000
0.168 0.832 0.500
0.500 0.500 0.500
0.832 0.168 0.500
```

Results
The crystal system is monoclinic. The value obtained for the calculated density is 6.75 g cm⁻³.


For each record above, in turn, the calculated total energy values are -6.93 -7.13 -7.11 -7.27 -5.69 -5.42 -5.46 -6.51 -6.48 -6.62 eV/atom.
For each record above, in turn, the calculated D(E_F) values are 10.11 9.97 10.21 19.68 14.18 6.44 13.11 7.28 8.38 12.26 states/eV/cell.
For each record above, in turn, the calculated M_tot values are 0.68 0.30 0.62 2.26 2.02 1.01 2.01 0.77 0.56 1.51 μB per formula unit.